SrBe4Tl | PBE | optimized geometry

Lattice parameters (Å, degrees): 5.2509 5.2509 5.2509 60.00 60.00 60.00
Fractional coordinates of all 6 atoms:
Sr (0.0000, 0.0000, 0.0000)
Be (0.3590, 0.3590, 0.3590)
Be (0.3590, 0.3590, 0.9229)
Be (0.3590, 0.9229, 0.3590)
Be (0.9229, 0.3590, 0.3590)
Tl (0.7500, 0.7500, 0.7500)

## Properties
Electronic total energy in eV/atom: -2.591
ΔH_f (0 K) in eV per atom: 0.5682
ρ in g/cm3: 5.3
Symmetry: F-43m (216)


NaLiIn4 | PBE | optimized geometry

Lattice parameters (Å, degrees): 6.1687 6.1687 6.1687 60.00 60.00 60.00
Fractional coordinates of all 6 atoms:
Na (0.0000, 0.0000, 0.0000)
Li (0.7500, 0.7500, 0.7500)
In (0.3751, 0.3751, 0.3751)
In (0.3751, 0.3751, 0.8747)
In (0.3751, 0.8747, 0.3751)
In (0.8747, 0.3751, 0.3751)

## Properties
Electronic total energy in eV/atom: -2.416
Relative energy among the computed polymorphs in meV/atom: 74
ΔH_f (0 K) in eV per atom: -0.0514
ρ in g/cm3: 4.9
Symmetry: F-43m (216)


CdTe2Cl2 | PBE | optimized geometry

Lattice parameters (Å, degrees): 7.5954 7.5954 5.0423 90.00 90.00 90.00
Fractional coordinates of all 10 atoms:
Cd (0.0000, 0.0000, 0.0000)
Cd (0.5000, 0.5000, 0.0000)
Te (0.1245, 0.3755, 0.0000)
Te (0.3755, 0.8755, 0.0000)
Te (0.6245, 0.1245, 0.0000)
Te (0.8755, 0.6245, 0.0000)
Cl (0.2217, 0.7217, 0.5000)
Cl (0.2783, 0.2217, 0.5000)
Cl (0.7217, 0.7783, 0.5000)
Cl (0.7783, 0.2783, 0.5000)

## Properties
Formation energy from raw total energies in eV per atom: -0.13
Electronic total energy in eV/atom: -2.308
Relative energy among the computed polymorphs in meV/atom: 0
ρ in g/cm3: 5.0
Symmetry: P4/mbm (127)


Er2Th5C5 | PBE | optimized geometry

Lattice parameters (Å, degrees): 6.3619 6.3619 11.0096 105.83 105.83 33.65
Fractional coordinates of all 12 atoms:
Er (0.0280, 0.0280, 0.2849)
Er (0.9720, 0.9720, 0.7151)
Th (0.2574, 0.2574, 0.1444)
Th (0.3429, 0.3429, 0.4481)
Th (0.5000, 0.5000, 0.0000)
Th (0.6571, 0.6571, 0.5519)
Th (0.7426, 0.7426, 0.8556)
C (0.0000, 0.0000, 0.5000)
C (0.1268, 0.1268, 0.9284)
C (0.3312, 0.3312, 0.6884)
C (0.6688, 0.6688, 0.3116)
C (0.8732, 0.8732, 0.0716)

## Properties
Electronic total energy in eV/atom: -7.851
ΔH_f (0 K) in eV per atom: -0.1560
ρ in g/cm3: 10.9
Symmetry: C2/m (12)


LiMn2Cu | PBE | optimized geometry

Lattice parameters (Å, degrees): 2.4666 2.4666 8.5946 90.00 90.00 113.50
Fractional coordinates of all 4 atoms:
Li (0.0000, 0.0000, 0.0000)
Mn (0.0000, 0.0000, 0.4942)
Mn (0.5000, 0.5000, 0.2657)
Cu (0.5000, 0.5000, 0.7459)

## Properties
Electronic total energy in eV/atom: -5.892
ΔH_f (0 K) in eV per atom: 0.1950
ρ in g/cm3: 6.2
Symmetry: Cmm2 (35)


TbPrOs | PBE | optimized geometry

Lattice parameters (Å, degrees): 4.8817 4.8817 4.8817 60.00 60.00 60.00
Fractional coordinates of all 3 atoms:
Tb (0.0000, 0.0000, 0.0000)
Pr (0.5000, 0.5000, 0.5000)
Os (0.2500, 0.2500, 0.2500)

## Properties
Electronic total energy in eV/atom: -6.970
Relative energy among the computed polymorphs in meV/atom: 0
ΔH_f (0 K) in eV per atom: -0.0902
ρ in g/cm3: 9.9
Symmetry: F-43m (216)


DyUGa2O8 | PBE | optimized geometry

Lattice parameters (Å, degrees): 5.9243 5.9243 5.9243 108.74 108.74 110.95
Fractional coordinates of all 12 atoms:
Dy (0.0000, 0.0000, 0.0000)
U (0.2500, 0.7500, 0.5000)
Ga (0.5000, 0.5000, 0.0000)
Ga (0.7500, 0.2500, 0.5000)
O (0.3098, 0.1139, 0.8041)
O (0.3098, 0.5057, 0.1959)
O (0.3681, 0.0468, 0.3213)
O (0.4943, 0.6902, 0.8041)
O (0.7256, 0.0468, 0.6787)
O (0.8861, 0.6902, 0.1959)
O (0.9532, 0.2744, 0.3213)
O (0.9532, 0.6319, 0.6787)

## Properties
Formation energy from raw total energies in eV per atom: -2.39
Electronic total energy in eV/atom: -7.523
ρ in g/cm3: 6.9
Symmetry: I-4m2 (119)


BeAs3Se | PBE | optimized geometry

Lattice parameters (Å, degrees): 4.5281 4.5281 4.5281 90.00 90.00 90.00
Fractional coordinates of all 5 atoms:
Be (0.0000, 0.0000, 0.0000)
As (0.0000, 0.0000, 0.5000)
As (0.0000, 0.5000, 0.0000)
As (0.5000, 0.0000, 0.0000)
Se (0.5000, 0.5000, 0.5000)

## Properties
Formation energy from raw total energies in eV per atom: 0.56
Electronic total energy in eV/atom: -3.675
Relative energy among the computed polymorphs in meV/atom: 0
ρ in g/cm3: 5.6
Symmetry: Pm-3m (221)


Na3ErNp3S8 | PBE | optimized geometry

Lattice parameters (Å, degrees): 8.1120 8.1120 8.1120 59.04 59.04 59.04
Fractional coordinates of all 15 atoms:
Na (0.0000, 0.5000, 0.5000)
Na (0.5000, 0.0000, 0.5000)
Na (0.5000, 0.5000, 0.0000)
Er (0.5000, 0.5000, 0.5000)
Np (0.0000, 0.0000, 0.5000)
Np (0.0000, 0.5000, 0.0000)
Np (0.5000, 0.0000, 0.0000)
S (0.2414, 0.2414, 0.2414)
S (0.2417, 0.7391, 0.7391)
S (0.2609, 0.2609, 0.7583)
S (0.2609, 0.7583, 0.2609)
S (0.7391, 0.2417, 0.7391)
S (0.7391, 0.7391, 0.2417)
S (0.7583, 0.2609, 0.2609)
S (0.7586, 0.7586, 0.7586)

## Properties
Formation energy from raw total energies in eV per atom: -1.47
Electronic total energy in eV/atom: -6.831
ρ in g/cm3: 5.4
Symmetry: R-3m (166)


KBaAs2 | PBE | optimized geometry

Lattice parameters (Å, degrees): 5.8814 5.8814 3.5782 90.00 90.00 106.16
Fractional coordinates of all 4 atoms:
K (0.0000, 0.0000, 0.0000)
Ba (0.5000, 0.5000, 0.0000)
As (0.0000, 0.5000, 0.5000)
As (0.5000, 0.0000, 0.5000)

## Properties
Electronic total energy in eV/atom: -3.524
Relative energy among the computed polymorphs in meV/atom: 241
ΔH_f (0 K) in eV per atom: -0.4443
ρ in g/cm3: 4.6
Symmetry: Cmmm (65)


MgTe2Os | PBE | optimized geometry

Lattice parameters (Å, degrees): 7.0648 7.0648 7.0648 152.98 142.20 47.08
Fractional coordinates of all 4 atoms:
Mg (0.0000, 0.0000, 0.0000)
Te (0.3364, 0.8364, 0.5000)
Te (0.6636, 0.1636, 0.5000)
Os (0.5000, 0.5000, 0.0000)

## Properties
Formation energy from raw total energies in eV per atom: 0.05
Electronic total energy in eV/atom: -4.722
ρ in g/cm3: 8.0
Symmetry: Immm (71)


LaMg3Nb | PBE | optimized geometry

Lattice parameters (Å, degrees): 5.2841 5.2841 5.2841 90.00 90.00 90.00
Fractional coordinates of all 5 atoms:
La (0.0000, 0.0000, 0.0000)
Mg (0.0000, 0.5000, 0.5000)
Mg (0.5000, 0.0000, 0.5000)
Mg (0.5000, 0.5000, 0.0000)
Nb (0.5000, 0.5000, 0.5000)

## Properties
Electronic total energy in eV/atom: -3.307
Relative energy among the computed polymorphs in meV/atom: 0
ΔH_f (0 K) in eV per atom: 0.6490
ρ in g/cm3: 3.4
Symmetry: Pm-3m (221)


What is the electronic total energy in the fifth record?
-5.892 eV/atom